## w
First-principles (GGA-PBE) data for a relaxed NdEr2Bi crystal, as listed in Alexandria.

Cell lengths 4.9076, 4.9076, 4.8657 Å; angles 90.00, 90.00, 90.00 degrees
Fractional coordinates of all 4 atoms:
Nd 0.0000 0.0000 0.0000
Er 0.0000 0.5000 0.5000
Er 0.5000 0.0000 0.5000
Bi 0.5000 0.5000 0.0000

Results
Crystal system = tetragonal
Space group = P4/mmm (123)

***

## x
First-principles (GGA-PBE) data for a relaxed NdEr2Bi crystal, as listed in Alexandria.

Cell lengths 4.0289, 4.0289, 7.4801 Å; angles 90.00, 90.00, 90.00 degrees
Fractional coordinates of all 4 atoms:
Nd 0.0000 0.0000 0.0000
Er 0.5000 0.5000 0.2755
Er 0.5000 0.5000 0.7245
Bi 0.0000 0.0000 0.5000

Results
Crystal system = tetragonal
Space group = P4/mmm (123)

***

## y
First-principles (GGA-PBE) data for a relaxed NdEr2Bi crystal, as listed in Alexandria.

Cell lengths 12.1896, 12.1896, 12.1896 Å; angles 16.79, 16.79, 16.79 degrees
Fractional coordinates of all 4 atoms:
Nd 0.0000 0.0000 0.0000
Er 0.4130 0.4130 0.4130
Er 0.5870 0.5870 0.5870
Bi 0.5000 0.5000 0.5000

Results
Crystal system = trigonal
Space group = R-3m (166)

***

## z
First-principles (GGA-PBE) data for a relaxed NdEr2Bi crystal, as listed in Alexandria.

Cell lengths 11.7458, 11.7458, 4.6504 Å; angles 90.00, 90.00, 157.11 degrees
Fractional coordinates of all 8 atoms:
Nd 0.1934 0.8066 0.7500
Nd 0.8066 0.1934 0.2500
Er 0.0566 0.9434 0.2500
Er 0.4421 0.5579 0.2500
Er 0.5579 0.4421 0.7500
Er 0.9434 0.0566 0.7500
Bi 0.3375 0.6625 0.7500
Bi 0.6625 0.3375 0.2500

Results
Crystal system = orthorhombic
Space group = Cmcm (63)

***

Energy relative to the most stable one, in kJ/mol of atoms: w 11.4; x 13.0; y 48.0; z 0.0